Density functional theory data (GGA-PBE) for a geometry-optimized Cs2PC structure.

Values from the calculation:
Energy of formation from the pure elements in meV/atom: 1531
N(E_F) in states/eV per cell: 41.52

Cell: 8.5135 8.5135 8.5135 Å, 90.00 90.00 90.00°
Space group Fm-3m (No. 225)
Inequivalent atoms, fractional coordinates:
Cs 0.2500 0.2500 0.2500 x8
P 0.0000 0.0000 0.0000 x4
C 0.0000 0.0000 0.5000 x4


Density functional theory data (GGA-PBE) for a geometry-optimized Cs2PC structure.

Values from the calculation:
Energy of formation from the pure elements in meV/atom: 544
N(E_F) in states/eV per cell: 12.35

Cell: 13.1941 13.1941 3.6793 Å, 90.00 90.00 90.00°
Space group I-42d (No. 122)
Inequivalent atoms, fractional coordinates:
Cs 0.0162 0.7500 0.1250 x8
P 0.0000 0.0000 0.5000 x4
C 0.0000 0.0000 0.0000 x4


Density functional theory data (GGA-PBE) for a geometry-optimized Cs3PC structure.

Values from the calculation:
Energy of formation from the pure elements in meV/atom: 1070
N(E_F) in states/eV per cell: 1.97

Cell: 6.7870 6.7870 6.7870 Å, 90.00 90.00 90.00°
Space group Pm-3m (No. 221)
Inequivalent atoms, fractional coordinates:
Cs 0.0000 0.0000 0.5000 x3
P 0.0000 0.0000 0.0000 x1
C 0.5000 0.5000 0.5000 x1


Density functional theory data (GGA-PBE) for a geometry-optimized CsPC3 structure.

Values from the calculation:
Energy of formation from the pure elements in meV/atom: 4488
N(E_F) in states/eV per cell: 2.68

Cell: 4.7018 4.7018 4.7018 Å, 90.00 90.00 90.00°
Space group Pm-3m (No. 221)
Inequivalent atoms, fractional coordinates:
Cs 0.0000 0.0000 0.0000 x1
P 0.5000 0.5000 0.5000 x1
C 0.0000 0.0000 0.5000 x3


Density functional theory data (GGA-PBE) for a geometry-optimized CsPC2 structure.

Values from the calculation:
Energy of formation from the pure elements in meV/atom: 958
N(E_F) in states/eV per cell: 9.88

Cell: 5.6961 5.6961 8.1152 Å, 90.00 90.00 90.00°
Space group I4_1/amd (No. 141, origin choice 2)
Inequivalent atoms, fractional coordinates:
Cs 0.0000 0.2500 0.3750 x4
P 0.0000 0.2500 0.8750 x4
C 0.0000 0.0000 0.0000 x8


Density functional theory data (GGA-PBE) for a geometry-optimized CsRe2PC structure.

Values from the calculation:
Energy of formation from the pure elements in meV/atom: 2477
N(E_F) in states/eV per cell: 7.28

Cell: 4.4027 4.4027 6.5873 Å, 90.00 90.00 90.00°
Space group P4/mmm (No. 123)
Inequivalent atoms, fractional coordinates:
Cs 0.0000 0.0000 0.0000 x1
Re 0.0000 0.5000 0.5000 x2
P 0.0000 0.0000 0.5000 x1
C 0.5000 0.5000 0.0000 x1


Density functional theory data (GGA-PBE) for a geometry-optimized CsPCS2 structure.

Values from the calculation:
Formation energy without anion corrections in meV per atom: 1065
N(E_F) in states/eV per cell: 5.01

Cell: 5.0347 5.0347 4.0166 Å, 90.00 90.00 90.00°
Space group P4/mmm (No. 123)
Inequivalent atoms, fractional coordinates:
Cs 0.0000 0.0000 0.0000 x1
P 0.5000 0.5000 0.0000 x1
C 0.5000 0.5000 0.5000 x1
S 0.0000 0.5000 0.5000 x2


Density functional theory data (GGA-PBE) for a geometry-optimized CsPCS2 structure.

Values from the calculation:
Formation energy without anion corrections in meV per atom: 2862
N(E_F) in states/eV per cell: 7.03

Cell: 5.6979 5.6979 7.6245 Å, 90.00 90.00 90.00°
Space group P4/mmm (No. 123)
Inequivalent atoms, fractional coordinates:
Cs 0.0000 0.0000 0.0000 x1
P 0.0000 0.0000 0.5000 x1
C 0.5000 0.5000 0.5000 x1
S 0.0000 0.5000 0.0000 x2


Density functional theory data (GGA-PBE) for a geometry-optimized CsTePC2 structure.

Values from the calculation:
Formation energy without anion corrections in meV per atom: 2467
N(E_F) in states/eV per cell: 5.37

Cell: 4.3597 4.3597 7.3740 Å, 90.00 90.00 90.00°
Space group P4/mmm (No. 123)
Inequivalent atoms, fractional coordinates:
Cs 0.0000 0.0000 0.0000 x1
Te 0.0000 0.0000 0.5000 x1
P 0.5000 0.5000 0.0000 x1
C 0.0000 0.5000 0.5000 x2


Density functional theory data (GGA-PBE) for a geometry-optimized CsTePC structure.

Values from the calculation:
Formation energy without anion corrections in meV per atom: 415

Cell: 4.9619 5.2560 5.9949 Å, 94.32 90.89 108.84°
Space group P1 (No. 1)
Inequivalent atoms, fractional coordinates:
Cs 0.0000 0.0000 0.0000 x1
Te 0.4328 0.7815 0.5014 x1
P 0.6324 0.3521 0.4568 x1
C 0.5542 0.1947 0.6920 x1


Density functional theory data (GGA-PBE) for a geometry-optimized CsTePC structure.

Values from the calculation:
Formation energy without anion corrections in meV per atom: 343
N(E_F) in states/eV per cell: 0.94

Cell: 12.4570 3.1344 7.1718 Å, 90.00 115.99 90.00°
Space group Cm (No. 8)
Inequivalent atoms, fractional coordinates:
Cs 0.0000 0.0000 0.0000 x2
Te 0.0331 0.5000 0.5363 x2
P 0.3223 0.0000 0.2333 x2
C 0.2555 0.5000 0.1661 x2


Density functional theory data (GGA-PBE) for a geometry-optimized CsTePC structure.

Values from the calculation:
Formation energy without anion corrections in meV per atom: 130
N(E_F) in states/eV per cell: 0.00

Cell: 5.1218 5.1235 6.9358 Å, 111.11 111.55 90.00°
Space group P1 (No. 1)
Inequivalent atoms, fractional coordinates:
Cs 0.0000 0.0000 0.0000 x1
Te 0.3600 0.3637 0.7182 x1
P 0.6615 0.6591 0.3237 x1
C 0.5281 0.5280 0.0558 x1


| no. | density (g/cm³) | size of the total moment (μB/atom) |
| --- | --- | --- |
| 1 | 3.324 | 1.16 |
| 2 | 3.202 | 0.03 |
| 3 | 2.346 | 0.80 |
| 4 | 3.194 | 0.45 |
| 5 | 4.740 | 0.00 |
| 6 | 7.130 | 0.00 |
| 7 | 3.915 | 0.00 |
| 8 | 1.610 | 1.17 |
| 9 | 3.738 | 0.55 |
| 10 | 3.419 | 0.00 |
| 11 | 4.004 | 0.00 |
| 12 | 3.229 | 0.00 |